<1>
Computed, not measured: a relaxed TbSnPd3 crystal at the GGA-PBE level of DFT.

Structure (POSCAR):
```
TbSnPd3
1.0
-4.810 1.391 -0.278
-0.984 -2.570 4.159
-0.880 6.793 3.989
Tb Sn Pd
2 2 6
Direct
0.470 0.750 0.709 Tb
0.179 0.250 0.291 Tb
0.689 0.750 0.271 Sn
0.960 0.250 0.729 Sn
0.774 0.250 0.101 Pd
0.378 0.250 0.893 Pd
0.577 0.250 0.494 Pd
0.271 0.750 0.107 Pd
0.874 0.750 0.899 Pd
0.071 0.750 0.506 Pd
```

Calculated values
DOS at the Fermi energy = 0.29 states/eV per atom


<2>
Computed, not measured: a relaxed TbSnPd3 crystal at the GGA-PBE level of DFT.

Structure (POSCAR):
```
TbSnPd3
1.0
-2.957 0.210 5.793
-6.502 -0.182 -0.190
-2.682 -5.597 1.955
Tb Sn Pd
2 2 6
Direct
0.949 0.949 0.949 Tb
0.449 0.449 0.449 Tb
0.746 0.746 0.746 Sn
0.246 0.246 0.246 Sn
0.068 0.893 0.362 Pd
0.393 0.568 0.862 Pd
0.568 0.862 0.393 Pd
0.862 0.393 0.568 Pd
0.362 0.068 0.893 Pd
0.893 0.362 0.068 Pd
```

Calculated values
DOS at the Fermi energy = 0.57 states/eV per atom


Last place for stability: <2>


<1>
Computed, not measured: a relaxed TbSn2Pd4 crystal at the GGA-PBE level of DFT.

Structure (POSCAR):
```
TbSn2Pd4
1.0
4.356 0.000 1.361
1.965 3.887 1.361
-0.199 -0.122 8.287
Tb Sn Pd
1 2 4
Direct
0.000 0.000 0.000 Tb
0.756 0.756 0.731 Sn
0.244 0.244 0.269 Sn
0.871 0.871 0.388 Pd
0.129 0.129 0.612 Pd
0.596 0.596 0.211 Pd
0.404 0.404 0.789 Pd
```

Calculated values
DOS at the Fermi energy = 0.67 states/eV per atom


<2>
Computed, not measured: a relaxed TbSn2Pd4 crystal at the GGA-PBE level of DFT.

Structure (POSCAR):
```
TbSn2Pd4
1.0
-4.045 0.102 1.393
2.379 -2.805 7.115
1.083 7.500 2.594
Tb Sn Pd
2 4 8
Direct
0.500 0.000 0.000 Tb
0.000 0.500 0.500 Tb
0.000 0.215 0.785 Sn
0.000 0.785 0.215 Sn
0.500 0.715 0.715 Sn
0.500 0.285 0.285 Sn
0.000 0.093 0.348 Pd
0.000 0.907 0.652 Pd
0.500 0.152 0.593 Pd
0.500 0.848 0.407 Pd
0.500 0.407 0.848 Pd
0.500 0.593 0.152 Pd
0.000 0.348 0.093 Pd
0.000 0.652 0.907 Pd
```

Calculated values
DOS at the Fermi energy = 0.83 states/eV per atom


Last place for stability: <1>


<1>
Computed, not measured: a relaxed TbSn2Pd6 crystal at the GGA-PBE level of DFT.

Structure (POSCAR):
```
TbSn2Pd6
1.0
-1.796 3.236 -0.762
3.890 0.678 -6.288
-6.531 -3.473 0.641
Tb Sn Pd
1 2 6
Direct
0.500 0.109 0.109 Tb
0.000 0.605 0.310 Sn
0.000 0.310 0.605 Sn
0.500 0.522 0.522 Pd
0.500 0.572 0.936 Pd
0.500 0.936 0.572 Pd
0.000 0.807 0.807 Pd
0.000 0.232 0.906 Pd
0.000 0.906 0.232 Pd
```

Calculated values
DOS at the Fermi energy = 0.52 states/eV per atom


<2>
Computed, not measured: a relaxed TbSn2Pd6 crystal at the GGA-PBE level of DFT.

Structure (POSCAR):
```
TbSn2Pd6
1.0
5.560 0.000 0.000
-2.780 4.815 0.000
0.000 0.000 7.044
Tb Sn Pd
1 2 6
Direct
0.000 0.000 0.000 Tb
0.333 0.667 0.500 Sn
0.667 0.333 0.500 Sn
0.500 0.000 0.192 Pd
0.500 0.500 0.192 Pd
0.000 0.500 0.192 Pd
0.500 0.500 0.808 Pd
0.000 0.500 0.808 Pd
0.500 0.000 0.808 Pd
```

Calculated values
DOS at the Fermi energy = 0.35 states/eV per atom


Last place for stability: <1>


<1>
Computed, not measured: a relaxed Tb12SnPd6 crystal at the GGA-PBE level of DFT.

Structure (POSCAR):
```
Tb12SnPd6
1.0
-1.249 -8.505 1.137
6.126 2.778 5.472
-7.402 4.242 1.553
Tb Sn Pd
12 1 6
Direct
0.298 0.114 0.816 Tb
0.298 0.482 0.184 Tb
0.702 0.518 0.816 Tb
0.702 0.886 0.184 Tb
0.114 0.816 0.298 Tb
0.482 0.184 0.298 Tb
0.518 0.816 0.702 Tb
0.886 0.184 0.702 Tb
0.816 0.298 0.114 Tb
0.184 0.298 0.482 Tb
0.816 0.702 0.518 Tb
0.184 0.702 0.886 Tb
0.000 0.000 0.000 Sn
0.364 0.500 0.864 Pd
0.636 0.500 0.136 Pd
0.500 0.864 0.364 Pd
0.500 0.136 0.636 Pd
0.864 0.364 0.500 Pd
0.136 0.636 0.500 Pd
```

Calculated values
DOS at the Fermi energy = 0.89 states/eV per atom


<2>
Computed, not measured: a relaxed Tb12SnPd6 crystal at the GGA-PBE level of DFT.

Structure (POSCAR):
```
Tb12SnPd6
1.0
-4.313 -0.505 -7.576
7.716 -3.996 -0.870
-4.628 -4.104 6.164
Tb Sn Pd
12 1 6
Direct
0.852 0.617 0.557 Tb
0.557 0.852 0.617 Tb
0.617 0.557 0.852 Tb
0.148 0.383 0.443 Tb
0.443 0.148 0.383 Tb
0.383 0.443 0.148 Tb
0.032 0.858 0.325 Tb
0.142 0.675 0.968 Tb
0.675 0.968 0.142 Tb
0.968 0.142 0.675 Tb
0.858 0.325 0.032 Tb
0.325 0.032 0.858 Tb
0.000 0.000 0.000 Sn
0.710 0.780 0.351 Pd
0.649 0.290 0.220 Pd
0.220 0.649 0.290 Pd
0.290 0.220 0.649 Pd
0.351 0.710 0.780 Pd
0.780 0.351 0.710 Pd
```

Calculated values
DOS at the Fermi energy = 0.91 states/eV per atom


Last place for stability: <2>


<1>
Computed, not measured: a relaxed SnTe2Pd4 crystal at the GGA-PBE level of DFT.

Structure (POSCAR):
```
SnTe2Pd4
1.0
4.997 0.000 0.000
0.000 4.997 0.000
2.499 2.499 6.882
Te Sn Pd
2 1 4
Direct
0.376 0.376 0.249 Te
0.624 0.624 0.751 Te
0.000 0.000 0.000 Sn
0.187 0.187 0.625 Pd
0.813 0.813 0.375 Pd
0.000 0.500 0.000 Pd
0.500 0.000 0.000 Pd
```

Calculated values
DOS at the Fermi energy = 0.86 states/eV per atom


<2>
Computed, not measured: a relaxed SnTe2Pd4 crystal at the GGA-PBE level of DFT.

Structure (POSCAR):
```
SnTe2Pd4
1.0
-3.691 1.318 -1.416
0.404 -7.178 -1.603
-4.104 -2.169 8.677
Sn Te Pd
2 4 8
Direct
0.665 0.330 0.750 Sn
0.335 0.670 0.250 Sn
0.111 0.221 0.414 Te
0.889 0.779 0.914 Te
0.111 0.221 0.086 Te
0.889 0.779 0.586 Te
0.755 0.509 0.107 Pd
0.755 0.509 0.393 Pd
0.245 0.491 0.893 Pd
0.245 0.491 0.607 Pd
0.051 0.101 0.750 Pd
0.949 0.899 0.250 Pd
0.500 0.000 0.000 Pd
0.500 0.000 0.500 Pd
```

Calculated values
DOS at the Fermi energy = 0.46 states/eV per atom


Last place for stability: <1>


<1>
Computed, not measured: a relaxed SnTe2Pd6 crystal at the GGA-PBE level of DFT.

Structure (POSCAR):
```
SnTe2Pd6
1.0
-5.183 -5.338 -7.892
-5.450 -8.792 -3.263
2.831 8.313 6.366
Te Sn Pd
2 1 6
Direct
0.677 0.677 0.000 Te
0.318 0.318 0.000 Te
0.000 0.000 0.000 Sn
0.906 0.406 0.500 Pd
0.406 0.906 0.500 Pd
0.096 0.596 0.500 Pd
0.596 0.096 0.500 Pd
0.502 0.502 0.000 Pd
0.802 0.802 0.000 Pd
```

Calculated values
DOS at the Fermi energy = 0.43 states/eV per atom


<2>
Computed, not measured: a relaxed SnTe2Pd6 crystal at the GGA-PBE level of DFT.

Structure (POSCAR):
```
SnTe2Pd6
1.0
-6.658 -0.354 -1.884
-1.673 -0.646 6.034
0.879 7.927 1.092
Sn Te Pd
2 4 12
Direct
0.500 0.500 0.000 Sn
0.000 0.000 0.500 Sn
0.952 0.377 0.788 Te
0.548 0.877 0.712 Te
0.452 0.123 0.288 Te
0.048 0.623 0.212 Te
0.717 0.830 0.208 Pd
0.799 0.655 0.542 Pd
0.896 0.773 0.899 Pd
0.604 0.273 0.601 Pd
0.701 0.155 0.958 Pd
0.783 0.330 0.292 Pd
0.283 0.170 0.792 Pd
0.201 0.345 0.458 Pd
0.104 0.227 0.101 Pd
0.396 0.727 0.399 Pd
0.299 0.845 0.042 Pd
0.217 0.670 0.708 Pd
```

Calculated values
DOS at the Fermi energy = 0.42 states/eV per atom


Last place for stability: <2>


<1>
Computed, not measured: a relaxed SnTe2Pd8 crystal at the GGA-PBE level of DFT.

Structure (POSCAR):
```
SnTe2Pd8
1.0
4.405 -0.103 -1.245
-1.041 5.923 -2.503
-0.013 -0.206 7.575
Sn Te Pd
1 2 8
Direct
0.129 0.915 0.909 Sn
0.767 0.617 0.230 Te
0.445 0.296 0.588 Te
0.705 0.228 0.909 Pd
0.963 0.021 0.588 Pd
0.283 0.342 0.230 Pd
0.741 0.994 0.148 Pd
0.316 0.860 0.313 Pd
0.911 0.457 0.505 Pd
0.237 0.514 0.909 Pd
0.502 0.755 0.671 Pd
```

Calculated values
DOS at the Fermi energy = 0.48 states/eV per atom


<2>
Computed, not measured: a relaxed SnTe2Pd8 crystal at the GGA-PBE level of DFT.

Structure (POSCAR):
```
SnTe2Pd8
1.0
-2.420 3.351 0.435
-3.809 -3.266 3.973
6.652 1.720 3.894
Sn Te Pd
1 2 8
Direct
0.500 0.000 0.000 Sn
0.804 0.342 0.608 Te
0.196 0.658 0.392 Te
0.414 0.550 0.827 Pd
0.678 0.928 0.356 Pd
0.858 0.801 0.717 Pd
0.963 0.257 0.926 Pd
0.142 0.199 0.283 Pd
0.322 0.072 0.644 Pd
0.586 0.450 0.173 Pd
0.037 0.743 0.074 Pd
```

Calculated values
DOS at the Fermi energy = 0.36 states/eV per atom


Last place for stability: <1>


<1>
Computed, not measured: a relaxed ThSnPd6 crystal at the GGA-PBE level of DFT.

Structure (POSCAR):
```
ThSnPd6
1.0
-3.817 -0.411 -1.597
-0.868 -2.924 2.827
-2.754 5.751 5.102
Th Sn Pd
1 1 6
Direct
0.000 0.000 0.500 Th
0.000 0.000 0.000 Sn
0.500 0.500 0.000 Pd
0.500 0.500 0.500 Pd
0.500 0.000 0.243 Pd
0.500 0.000 0.757 Pd
0.000 0.500 0.243 Pd
0.000 0.500 0.757 Pd
```

Calculated values
DOS at the Fermi energy = 0.33 states/eV per atom


<2>
Computed, not measured: a relaxed ThSnPd6 crystal at the GGA-PBE level of DFT.

Structure (POSCAR):
```
ThSnPd6
1.0
5.461 0.000 0.000
2.730 4.729 0.000
2.730 1.576 6.993
Th Sn Pd
1 1 6
Direct
0.500 0.500 0.500 Th
0.000 0.000 0.000 Sn
0.931 0.931 0.697 Pd
0.440 0.931 0.697 Pd
0.069 0.560 0.303 Pd
0.560 0.069 0.303 Pd
0.069 0.069 0.303 Pd
0.931 0.440 0.697 Pd
```

Calculated values
DOS at the Fermi energy = 0.46 states/eV per atom


Last place for stability: <2>


<1>
Computed, not measured: a relaxed ThSnPd4 crystal at the GGA-PBE level of DFT.

Structure (POSCAR):
```
ThSnPd4
1.0
-3.361 3.798 2.057
-4.278 -3.285 -0.926
0.968 -3.560 8.154
Th Sn Pd
2 2 8
Direct
0.000 0.000 0.500 Th
0.500 0.500 0.000 Th
0.000 0.000 0.000 Sn
0.500 0.500 0.500 Sn
0.264 0.000 0.245 Pd
0.736 0.000 0.245 Pd
0.000 0.736 0.755 Pd
0.000 0.264 0.755 Pd
0.500 0.236 0.745 Pd
0.764 0.500 0.255 Pd
0.236 0.500 0.255 Pd
0.500 0.764 0.745 Pd
```

Calculated values
DOS at the Fermi energy = 0.48 states/eV per atom


<2>
Computed, not measured: a relaxed ThSnPd4 crystal at the GGA-PBE level of DFT.

Structure (POSCAR):
```
ThSnPd4
1.0
5.451 0.000 0.000
2.725 4.721 0.000
2.725 1.574 4.451
Pd Sn Th
4 1 1
Direct
0.625 0.625 0.125 Pd
0.625 0.125 0.625 Pd
0.625 0.625 0.625 Pd
0.125 0.625 0.625 Pd
0.000 0.000 0.000 Sn
0.250 0.250 0.250 Th
```

Calculated values
DOS at the Fermi energy = 0.74 states/eV per atom


Last place for stability: <1>


<1>
Computed, not measured: a relaxed Ti3SnPd6 crystal at the GGA-PBE level of DFT.

Structure (POSCAR):
```
Ti3SnPd6
1.0
-3.478 3.228 0.334
-4.006 -3.623 -6.682
-3.056 -4.013 6.956
Ti Sn Pd
6 2 12
Direct
0.490 0.872 0.665 Ti
0.990 0.665 0.872 Ti
0.085 0.369 0.631 Ti
0.585 0.631 0.369 Ti
0.990 0.128 0.335 Ti
0.490 0.335 0.128 Ti
0.146 0.147 0.853 Sn
0.646 0.853 0.147 Sn
0.047 0.681 0.578 Pd
0.547 0.578 0.681 Pd
0.457 0.572 0.989 Pd
0.957 0.989 0.572 Pd
0.158 0.948 0.052 Pd
0.609 0.266 0.734 Pd
0.109 0.734 0.266 Pd
0.658 0.052 0.948 Pd
0.457 0.011 0.428 Pd
0.957 0.428 0.011 Pd
0.047 0.422 0.319 Pd
0.547 0.319 0.422 Pd
```

Calculated values
DOS at the Fermi energy = 0.83 states/eV per atom


<2>
Computed, not measured: a relaxed Ti3SnPd6 crystal at the GGA-PBE level of DFT.

Structure (POSCAR):
```
Ti3SnPd6
1.0
-1.305 3.399 3.167
-5.522 3.322 -3.825
-2.767 -8.742 4.091
Ti Sn Pd
6 2 12
Direct
0.263 0.527 0.391 Ti
0.737 0.473 0.609 Ti
0.230 0.356 0.797 Ti
0.770 0.644 0.203 Ti
0.221 0.772 0.005 Ti
0.779 0.228 0.995 Ti
0.278 0.934 0.606 Sn
0.722 0.066 0.394 Sn
0.268 0.458 0.089 Pd
0.732 0.542 0.911 Pd
0.227 0.155 0.189 Pd
0.773 0.845 0.811 Pd
0.252 0.640 0.706 Pd
0.748 0.360 0.294 Pd
0.230 0.258 0.505 Pd
0.770 0.742 0.495 Pd
0.247 0.838 0.294 Pd
0.753 0.162 0.706 Pd
0.262 0.058 0.899 Pd
0.738 0.942 0.101 Pd
```

Calculated values
DOS at the Fermi energy = 0.84 states/eV per atom


Last place for stability: <1>